[1]
## PrTm5Bi4 (PBE)

Data for an optimized crystal structure of PrTm5Bi4.

Crystal system ... monoclinic
Energy of formation from the pure elements ... -524.3 meV/atom
VASP energy ... -4.79 eV per atom
Size of the total moment ... 1.80 μB/cell
Space-group type ... C2/m, No. 12

a b c (Å): 4.4030 7.6802 11.5010
angles (deg): 119.54 101.04 90.00
Fractional coordinates of all 10 atoms:
Pr  0.5000  0.0000  0.0000
Tm  0.1978  0.7835  0.3957
Bi  0.0661  0.3620  0.1322
Tm  0.8106  0.7064  0.6212
Tm  0.5000  0.5000  0.0000
Tm  0.1894  0.2936  0.3788
Bi  0.6368  0.9450  0.2737
Tm  0.8022  0.2165  0.6043
Bi  0.9339  0.6380  0.8678
Bi  0.3632  0.0550  0.7263

---

[2]
## Pm2PrHo5 (PBE)

Data for an optimized crystal structure of Pm2PrHo5.

Crystal system ... orthorhombic
Energy of formation from the pure elements ... 18.9 meV/atom
VASP energy ... -4.63 eV per atom
Size of the total moment ... 0.00 μB/cell
Space-group type ... Pbam, No. 55

a b c (Å): 5.0556 7.1601 14.3292
angles (deg): 90.00 90.00 90.00
Fractional coordinates of all 16 atoms:
Pm  0.5000  0.2477  0.1261
Pm  0.5000  0.7477  0.3739
Pr  0.0000  0.0000  0.5000
Ho  0.0000  0.0015  0.7512
Ho  0.0000  0.5000  0.5000
Ho  0.5000  0.7506  0.6258
Ho  0.0000  0.4985  0.2512
Pr  0.0000  0.5000  0.0000
Ho  0.5000  0.7494  0.1258
Ho  0.0000  0.9985  0.2488
Pm  0.5000  0.7523  0.8739
Ho  0.5000  0.2494  0.3742
Pm  0.5000  0.2523  0.6261
Ho  0.0000  0.5015  0.7488
Ho  0.5000  0.2506  0.8742
Ho  0.0000  0.0000  0.0000

---

[3]
## KCrIn4 (PBE)

Data for an optimized crystal structure of KCrIn4.

Crystal system ... cubic
Energy of formation from the pure elements ... 303.9 meV/atom
VASP energy ... -3.31 eV per atom
Size of the total moment ... 4.51 μB/cell
Space-group type ... F-43m, No. 216

a b c (Å): 6.1794 6.1794 6.1794
angles (deg): 60.00 60.00 60.00
Fractional coordinates of all 6 atoms:
In  0.3746  0.3746  0.8761
Cr  0.0000  0.0000  0.0000
In  0.8761  0.3746  0.3746
In  0.3746  0.3746  0.3746
K  0.7500  0.7500  0.7500
In  0.3746  0.8761  0.3746

---

[4]
## TlAs2Se4 (PBE)

Data for an optimized crystal structure of TlAs2Se4.

Crystal system ... monoclinic
VASP energy ... -3.77 eV per atom
Formation energy without anion corrections ... -114 meV per atom
Size of the total moment ... 0.00 μB/cell
Space-group type ... Cc, No. 9

a b c (Å): 11.2137 11.2124 7.2118
angles (deg): 107.15 107.15 133.75
Fractional coordinates of all 14 atoms:
Se  0.2773  0.1114  0.8229
Se  0.9698  0.3169  0.4158
Tl  0.1859  0.1875  0.1705
As  0.5812  0.9335  0.1883
As  0.5635  0.3648  0.7274
Tl  0.4374  0.9357  0.6704
Se  0.8636  0.5166  0.1335
As  0.6148  0.3135  0.2274
Se  0.3613  0.0272  0.3229
Se  0.7665  0.6137  0.6335
Se  0.6891  0.9395  0.5419
Se  0.5668  0.7196  0.9156
As  0.1834  0.3310  0.6881
Se  0.1895  0.4390  0.0419

---

[5]
## Al4VPd (PBE)

Data for an optimized crystal structure of Al4VPd.

Crystal system ... monoclinic
Energy of formation from the pure elements ... -326.2 meV/atom
VASP energy ... -5.21 eV per atom
Size of the total moment ... 0.62 μB/cell
Space-group type ... P2/c, No. 13

a b c (Å): 4.6701 7.5221 7.8575
angles (deg): 139.15 90.00 90.00
Fractional coordinates of all 12 atoms:
Al  0.4436  0.7790  0.6063
Al  0.9239  0.9913  0.6624
Al  0.5564  0.2790  0.1063
Pd  0.3898  0.2500  0.7500
V  0.0000  0.0000  0.0000
Al  0.9239  0.5087  0.8376
Al  0.0761  0.4913  0.1624
Al  0.0761  0.0087  0.3376
Al  0.4436  0.7210  0.8937
Pd  0.6102  0.7500  0.2500
Al  0.5564  0.2210  0.3937
V  0.0000  0.5000  0.5000

---

[6]
## La2SmPaBi4 (PBE)

Data for an optimized crystal structure of La2SmPaBi4.

Crystal system ... monoclinic
Energy of formation from the pure elements ... -771.6 meV/atom
VASP energy ... -5.72 eV per atom
Size of the total moment ... 1.06 μB/cell
Space-group type ... P2/m, No. 10

a b c (Å): 4.5938 7.9698 8.0073
angles (deg): 109.20 90.00 90.00
Fractional coordinates of all 8 atoms:
Bi  0.5000  0.2505  0.2394
Pa  0.5000  0.5000  0.0000
Bi  0.0000  0.2563  0.7616
Sm  0.0000  0.0000  0.0000
Bi  0.0000  0.7437  0.2384
La  0.5000  0.0000  0.5000
La  0.0000  0.5000  0.5000
Bi  0.5000  0.7495  0.7606

---

[7]
## Fe3CoSb (PBE)

Data for an optimized crystal structure of Fe3CoSb.

Crystal system ... cubic
VASP energy ... -6.58 eV per atom
Formation energy without anion corrections ... 742 meV per atom
Size of the total moment ... 10.29 μB/cell
Space-group type ... Pm-3m, No. 221

a b c (Å): 4.3780 4.3780 4.3780
angles (deg): 90.00 90.00 90.00
Fractional coordinates of all 5 atoms:
Fe  0.0000  0.5000  0.0000
Fe  0.0000  0.0000  0.5000
Co  0.0000  0.0000  0.0000
Fe  0.5000  0.0000  0.0000
Sb  0.5000  0.5000  0.5000

---

[8]
## Mg2MnCr (PBE)

Data for an optimized crystal structure of Mg2MnCr.

Crystal system ... tetragonal
Energy of formation from the pure elements ... 409.3 meV/atom
VASP energy ... -5.09 eV per atom
Size of the total moment ... 4.52 μB/cell
Space-group type ... P4mm, No. 99

a b c (Å): 2.7784 2.7784 8.5490
angles (deg): 90.00 90.00 90.00
Fractional coordinates of all 4 atoms:
Mg  0.5000  0.5000  0.2775
Cr  0.5000  0.5000  0.7224
Mn  0.0000  0.0000  0.5277
Mg  0.0000  0.0000  0.9724

---

Q: Among the records above, which one has the highest VASP energy?
A: KCrIn4

---

Q: size of the total moment of number 7 (Fe3CoSb)?
A: 10.29 μB/cell

---

Q: Number 8 is which compound?
A: Mg2MnCr

---

Q: Among the records above, which one has the lowest VASP energy?
A: Fe3CoSb